[1]
Material: Cd2HgPt
Method: DFT, PBE
State: optimized geometry

Summary:
The final energy comes out at -16.99 eV/cell. The calculation puts the density at 13.1 g/cm³.

a = 6.372 Å, b = 7.896 Å, c = 3.119 Å
α = 90.00°, β = 90.00°, γ = 90.00°
Space group Cmmm (No. 65)
Symmetry-distinct sites (fractional):
Cd: 0.250 0.250 0.000
Hg: 0.000 0.000 0.500
Pt: 0.000 0.500 0.500

[2]
Material: SiBRhAuCS
Method: DFT, PBE
State: optimized geometry

Summary:
The energy relative to the elements, uncorrected is 0.335 eV per atom. The calculation puts the distance to the lowest polymorph of the same formula at 0.156 eV per atom. The final energy comes out at -34.07 eV/cell. The calculation puts the density at 7.0 g/cm³.

a = 3.026 Å, b = 5.641 Å, c = 5.721 Å
α = 75.37°, β = 89.94°, γ = 74.80°
Space group P1 (No. 1)
Symmetry-distinct sites (fractional):
Si: 0.000 0.000 0.000
B: 0.973 0.054 0.414
Rh: 0.577 0.840 0.332
Au: 0.651 0.690 0.869
C: 0.839 0.323 0.797
S: 0.819 0.365 0.498

[3]
Material: Sc2S3
Method: DFT, PBE
State: optimized geometry

Summary:
The energy relative to the elements, uncorrected is -1.918 eV per atom. The final energy comes out at -554.14 eV/cell. The calculation puts the density at 2.9 g/cm³.

a = 7.434 Å, b = 10.437 Å, c = 22.147 Å
α = 90.00°, β = 90.00°, γ = 90.00°
Space group Fddd (No. 70, origin choice 2)
Symmetry-distinct sites (fractional):
Sc: 0.125 0.125 0.041
Sc: 0.125 0.125 0.377
S: 0.116 0.375 0.375
S: 0.117 0.370 0.206

[4]
Material: BaNa2Y
Method: DFT, PBE
State: optimized geometry

Summary:
The calculation puts the distance to the lowest polymorph of the same formula at 0.000 eV per atom. The final energy comes out at -39.30 eV/cell. The calculation puts the density at 2.8 g/cm³.

a = 8.679 Å, b = 8.679 Å, c = 8.679 Å
α = 90.00°, β = 90.00°, γ = 90.00°
Space group Fm-3m (No. 225)
Symmetry-distinct sites (fractional):
Ba: 0.000 0.000 0.000
Na: 0.250 0.250 0.250
Y: 0.000 0.000 0.500

[5]
Material: HoTmAs
Method: DFT, PBE
State: optimized geometry

Summary:
The calculation puts the distance to the lowest polymorph of the same formula at 0.000 eV per atom. The final energy comes out at -16.21 eV/cell. The calculation puts the density at 8.0 g/cm³.

a = 3.9413 Å, b = 3.9413 Å, c = 6.3384 Å
α = 90.00°, β = 90.00°, γ = 120.00°
Space group P3m1 (No. 156)
Symmetry-distinct sites (fractional):
Ho: 0.0000 0.0000 0.0000
Tm: 0.6667 0.3333 0.4775
As: 0.3333 0.6667 0.7364

[6]
Material: Zn2CuHIr
Method: DFT, PBE
State: optimized geometry

Summary:
The final energy comes out at -18.69 eV/cell. The calculation puts the density at 11.0 g/cm³.

a = 4.046 Å, b = 4.046 Å, c = 3.580 Å
α = 90.00°, β = 90.00°, γ = 90.00°
Space group P4/mmm (No. 123)
Symmetry-distinct sites (fractional):
Zn: 0.000 0.500 0.000
Cu: 0.000 0.000 0.500
H: 0.500 0.500 0.000
Ir: 0.500 0.500 0.500